# 1
Material: NaSb2Pd
Method: DFT, PBE
State: relaxed Values from VASP.

```
&SYSTEM
  ibrav = 0, nat = 8, ntyp = 3
/
ATOMIC_SPECIES
Na 22.99 Na.upf
Sb 121.76 Sb.upf
Pd 106.42 Pd.upf
ATOMIC_POSITIONS crystal
Na 0.0000 0.0000 0.0000
Na 0.7500 0.2500 0.5000
Sb 0.2003 0.6250 0.0753
Sb 0.3750 0.4503 0.5753
Sb 0.5497 0.1250 0.9247
Sb 0.8750 0.7997 0.4247
Pd 0.2500 0.7500 0.5000
Pd 0.5000 0.5000 0.0000
CELL_PARAMETERS angstrom
-4.2242 4.2242 2.8783
4.2242 -4.2242 2.8783
4.2242 4.2242 -2.8783
```

Results
crystal system: tetragonal
DFT total energy: -3.93 eV/atom
space group: I-42d, No. 122
Fermi-level density of states: 5.00 states/eV per cell
uncorrected formation energy: -0.2417 eV/atom

# 2
Material: NaSb3Pd
Method: DFT, PBE
State: relaxed Values from VASP.

```
&SYSTEM
  ibrav = 0, nat = 5, ntyp = 3
/
ATOMIC_SPECIES
Na 22.99 Na.upf
Sb 121.76 Sb.upf
Pd 106.42 Pd.upf
ATOMIC_POSITIONS crystal
Na 0.0000 0.0000 0.0000
Sb 0.0000 0.0000 0.5000
Sb 0.0000 0.5000 0.0000
Sb 0.5000 0.0000 0.0000
Pd 0.5000 0.5000 0.5000
CELL_PARAMETERS angstrom
5.2769 0.0000 0.0000
0.0000 5.2769 0.0000
0.0000 0.0000 5.2769
```

Results
energy above the lowest structure with this stoichiometry: 1236 meV/atom
crystal system: cubic
DFT total energy: -2.81 eV/atom
space group: Pm-3m, No. 221
Fermi-level density of states: 3.82 states/eV per cell
uncorrected formation energy: 0.9642 eV/atom

# 3
Material: Na3Sb2Pd2
Method: DFT, PBE
State: relaxed Values from VASP.

```
&SYSTEM
  ibrav = 0, nat = 7, ntyp = 3
/
ATOMIC_SPECIES
Na 22.99 Na.upf
Sb 121.76 Sb.upf
Pd 106.42 Pd.upf
ATOMIC_POSITIONS crystal
Na 0.0000 0.0000 0.0000
Na 0.1388 0.1388 0.4160
Na 0.8612 0.8612 0.5840
Sb 0.4019 0.4019 0.2055
Sb 0.5981 0.5981 0.7945
Pd 0.2753 0.2753 0.8261
Pd 0.7247 0.7247 0.1739
CELL_PARAMETERS angstrom
4.1505 -2.3961 0.0000
4.1505 2.3961 0.0000
-2.7768 0.0000 7.5421
```

Results
crystal system: monoclinic
DFT total energy: -3.65 eV/atom
space group: C2/m, No. 12
Fermi-level density of states: 2.84 states/eV per cell
uncorrected formation energy: -0.4200 eV/atom

# 4
Material: NaSb12Pd4
Method: DFT, PBE
State: relaxed Values from VASP.

```
&SYSTEM
  ibrav = 0, nat = 17, ntyp = 3
/
ATOMIC_SPECIES
Na 22.99 Na.upf
Sb 121.76 Sb.upf
Pd 106.42 Pd.upf
ATOMIC_POSITIONS crystal
Na 0.0000 0.0000 0.0000
Sb 0.1551 0.3446 0.4997
Sb 0.1551 0.6554 0.8105
Sb 0.1895 0.8449 0.3446
Sb 0.3446 0.1895 0.8449
Sb 0.3446 0.4997 0.1551
Sb 0.4997 0.1551 0.3446
Sb 0.5003 0.8449 0.6554
Sb 0.6554 0.5003 0.8449
Sb 0.6554 0.8105 0.1551
Sb 0.8105 0.1551 0.6554
Sb 0.8449 0.3446 0.1895
Sb 0.8449 0.6554 0.5003
Pd 0.0000 0.0000 0.5000
Pd 0.0000 0.5000 0.0000
Pd 0.5000 0.0000 0.0000
Pd 0.5000 0.5000 0.5000
CELL_PARAMETERS angstrom
-4.8018 4.8018 4.8018
4.8018 -4.8018 4.8018
4.8018 4.8018 -4.8018
```

Results
crystal system: cubic
DFT total energy: -4.48 eV/atom
space group: Im-3, No. 204
Fermi-level density of states: 6.79 states/eV per cell
uncorrected formation energy: -0.2755 eV/atom

# 5
Material: NaSb2Pd
Method: DFT, PBE
State: relaxed Values from VASP.

```
&SYSTEM
  ibrav = 0, nat = 4, ntyp = 3
/
ATOMIC_SPECIES
Na 22.99 Na.upf
Sb 121.76 Sb.upf
Pd 106.42 Pd.upf
ATOMIC_POSITIONS crystal
Na 0.0000 0.0000 0.0000
Sb 0.1180 0.1180 0.1180
Sb 0.8820 0.8820 0.8820
Pd 0.5000 0.5000 0.5000
CELL_PARAMETERS angstrom
2.0560 1.1871 8.6751
-2.0560 1.1871 8.6751
0.0000 -2.3741 8.6751
```

Results
crystal system: trigonal
DFT total energy: -3.90 eV/atom
space group: R-3m, No. 166
Fermi-level density of states: 1.23 states/eV per cell
uncorrected formation energy: -0.2148 eV/atom

# 6
Material: Na3Sb2Pd3
Method: DFT, PBE
State: relaxed Values from VASP.

```
&SYSTEM
  ibrav = 0, nat = 16, ntyp = 3
/
ATOMIC_SPECIES
Na 22.99 Na.upf
Sb 121.76 Sb.upf
Pd 106.42 Pd.upf
ATOMIC_POSITIONS crystal
Na 0.0816 0.9184 0.6137
Na 0.0816 0.9184 0.8863
Na 0.3792 0.6208 0.7500
Na 0.6208 0.3792 0.2500
Na 0.9184 0.0816 0.1137
Na 0.9184 0.0816 0.3863
Sb 0.2113 0.7887 0.0955
Sb 0.2113 0.7887 0.4045
Sb 0.7887 0.2113 0.5955
Sb 0.7887 0.2113 0.9045
Pd 0.3183 0.6817 0.2500
Pd 0.3781 0.6219 0.5371
Pd 0.3781 0.6219 0.9629
Pd 0.6219 0.3781 0.0371
Pd 0.6219 0.3781 0.4629
Pd 0.6817 0.3183 0.7500
CELL_PARAMETERS angstrom
2.3217 -5.3654 0.0000
2.3217 5.3654 0.0000
0.0000 0.0000 14.9779
```

Results
crystal system: orthorhombic
DFT total energy: -3.84 eV/atom
space group: Cmcm, No. 63
Fermi-level density of states: 4.31 states/eV per cell
uncorrected formation energy: -0.3668 eV/atom